Entry 1:
Entry from Alexandria via LeMat-Bulk: an optimized crystal structure of Zr2Cu3Hg (PBE).

It has space group Imm2 (No. 44), with a = 3.082 Å, b = 4.168 Å, c = 17.218 Å, α = 90.00°, β = 90.00° and γ = 90.00°. The distinct sites, in fractional coordinates, are Zr at (0.000, 0.000, 0.000), Zr at (0.000, 0.500, 0.202), Cu at (0.000, 0.000, 0.561), Cu at (0.000, 0.500, 0.635), Cu at (0.000, 0.500, 0.776) and Hg at (0.000, 0.000, 0.399).

The density comes out at 8.6 g/cm³. The formation energy is 0.0 eV per formula unit. As for the final energy: -4.9424 eV per atom. The calculation puts the total magnetization at 0.0 μB/cell.

Entry 2:
Entry from Alexandria via LeMat-Bulk: an optimized crystal structure of CdPtPb2 (PBE).

It has space group C2/m (No. 12), with a = 6.500 Å, b = 7.328 Å, c = 4.029 Å, α = 90.00°, β = 90.26° and γ = 90.00°. The distinct sites, in fractional coordinates, are Cd at (0.000, 0.000, 0.000), Pt at (0.000, 0.500, 0.000) and Pb at (0.250, 0.250, 0.500).

The density comes out at 12.5 g/cm³. The formation energy is 0.2 eV per formula unit. As for the final energy: -3.5332 eV per atom. The calculation puts the total magnetization at 0.0 μB/cell.

Entry 3:
Entry from Alexandria via LeMat-Bulk: an optimized crystal structure of Li2Cu2AgAs2 (PBE).

It has space group R-3m (No. 166, hexagonal axes), with a = 4.1896 Å, b = 4.1896 Å, c = 21.3427 Å, α = 90.00°, β = 90.00° and γ = 120.00°. The distinct sites, in fractional coordinates, are Li at (0.0000, 0.0000, 0.1354), Cu at (0.0000, 0.0000, 0.2659), Ag at (0.0000, 0.0000, 0.0000) and As at (0.0000, 0.0000, 0.4216).

The density comes out at 6.1 g/cm³. The formation energy is -1.4 eV per formula unit. As for the final energy: -3.6568 eV per atom. The calculation puts the total magnetization at 0.0 μB/cell.

Entry 4:
Entry from Alexandria via LeMat-Bulk: an optimized crystal structure of CdIr2 (PBE).

It has space group Cm (No. 8), with a = 10.417 Å, b = 2.815 Å, c = 6.778 Å, α = 90.00°, β = 104.82° and γ = 90.00°. The distinct sites, in fractional coordinates, are Cd at (0.000, 0.000, 0.000), Cd at (0.166, 0.500, 0.338), Ir at (0.047, 0.000, 0.617), Ir at (0.228, 0.500, 0.936), Ir at (0.328, 0.000, 0.665) and Ir at (0.389, 0.000, 0.292).

The density comes out at 17.2 g/cm³. The formation energy is 0.6 eV per formula unit. As for the final energy: -6.0071 eV per atom. The calculation puts the total magnetization at 0.0 μB/cell.

Entry 5:
Entry from Alexandria via LeMat-Bulk: an optimized crystal structure of TbAlSn (PBE).

It has space group Fddd (No. 70, origin choice 2), with a = 8.192 Å, b = 10.208 Å, c = 14.901 Å, α = 90.00°, β = 90.00° and γ = 90.00°. The distinct sites, in fractional coordinates, are Tb at (0.000, 0.000, 0.000), Al at (0.125, 0.001, 0.625) and Sn at (0.125, 0.125, 0.448).

The density comes out at 6.5 g/cm³. The formation energy is -0.4 eV per formula unit. As for the final energy: -4.2590 eV per atom. The calculation puts the total magnetization at 0.0 μB/cell.

Entry 6:
Entry from Alexandria via LeMat-Bulk: an optimized crystal structure of CaEuSbCl (PBE).

It has space group F-43m (No. 216), with a = 7.707 Å, b = 7.707 Å, c = 7.707 Å, α = 90.00°, β = 90.00° and γ = 90.00°. The distinct sites, in fractional coordinates, are Ca at (0.000, 0.000, 0.000), Eu at (0.000, 0.000, 0.500), Sb at (0.250, 0.250, 0.750) and Cl at (0.250, 0.250, 0.250).

The density comes out at 5.1 g/cm³. Its uncorrected formation energy is -528 kJ/mol of formula units. As for the final energy: -5.9283 eV per atom. The calculation puts the total magnetization at 28.0 μB/cell.

Entry 7:
Entry from Alexandria via LeMat-Bulk: an optimized crystal structure of Nd8Y4Mg (PBE).

It has space group C2/m (No. 12), with a = 11.462 Å, b = 5.113 Å, c = 14.924 Å, α = 90.00°, β = 94.38° and γ = 90.00°. The distinct sites, in fractional coordinates, are Nd at (0.037, 0.000, 0.382), Nd at (0.082, 0.500, 0.773), Nd at (0.200, 0.000, 0.925), Nd at (0.231, 0.500, 0.307), Y at (0.110, 0.000, 0.151), Y at (0.153, 0.500, 0.538) and Mg at (0.000, 0.500, 0.000).

The density comes out at 5.8 g/cm³. The formation energy is 0.2 eV per formula unit. As for the final energy: -5.0275 eV per atom. The calculation puts the total magnetization at 0.0 μB/cell.

Entry 8:
Entry from Alexandria via LeMat-Bulk: an optimized crystal structure of CuRhSe2 (PBE).

It has space group R-3m (No. 166, hexagonal axes), with a = 3.7767 Å, b = 3.7767 Å, c = 21.1615 Å, α = 90.00°, β = 90.00° and γ = 120.00°. The distinct sites, in fractional coordinates, are Cu at (0.0000, 0.0000, 0.0000), Rh at (0.0000, 0.0000, 0.5000) and Se at (0.0000, 0.0000, 0.1078).

The density comes out at 6.2 g/cm³. Its uncorrected formation energy is -90 kJ/mol of formula units. As for the final energy: -4.8384 eV per atom. The calculation puts the total magnetization at 0.0 μB/cell.

Entry 9:
Entry from Alexandria via LeMat-Bulk: an optimized crystal structure of Ta2AgPb (PBE).

It has space group F-43m (No. 216), with a = 6.841 Å, b = 6.841 Å, c = 6.841 Å, α = 90.00°, β = 90.00° and γ = 90.00°. The distinct sites, in fractional coordinates, are Ta at (0.000, 0.000, 0.000), Ta at (0.250, 0.250, 0.250), Ag at (0.250, 0.250, 0.750) and Pb at (0.000, 0.000, 0.500).

The density comes out at 14.0 g/cm³. The formation energy is 2.9 eV per formula unit. As for the final energy: -6.8393 eV per atom. The calculation puts the total magnetization at 0.0 μB/cell.

Entry 10:
Entry from Alexandria via LeMat-Bulk: an optimized crystal structure of Nd2CuGe3 (PBE).

It has space group Fmmm (No. 69), with a = 8.414 Å, b = 8.500 Å, c = 14.523 Å, α = 90.00°, β = 90.00° and γ = 90.00°. The distinct sites, in fractional coordinates, are Nd at (0.000, 0.242, 0.000), Nd at (0.250, 0.250, 0.250), Cu at (0.000, 0.000, 0.334), Ge at (0.000, 0.000, 0.171) and Ge at (0.240, 0.000, 0.414).

The density comes out at 7.3 g/cm³. The formation energy is -4.3 eV per formula unit. As for the final energy: -5.2911 eV per atom. The offset from the most stable computed form comes out at 0.0 kJ/mol of atoms. The calculation puts the total magnetization at 0.0 μB/cell.

Entry 11:
Entry from Alexandria via LeMat-Bulk: an optimized crystal structure of TcAs2Ru (PBE).

It has space group Pm (No. 6), with a = 3.058 Å, b = 4.775 Å, c = 4.715 Å, α = 90.00°, β = 108.65° and γ = 90.00°. The distinct sites, in fractional coordinates, are Tc at (0.000, 0.000, 0.000), As at (0.708, 0.000, 0.423), As at (0.885, 0.500, 0.762) and Ru at (0.591, 0.500, 0.183).

The density comes out at 8.9 g/cm³. The formation energy is -0.5 eV per formula unit. As for the final energy: -7.3594 eV per atom. The offset from the most stable computed form comes out at 0.0 kJ/mol of atoms. The calculation puts the total magnetization at 0.0 μB/cell.

Entry 12:
Entry from Alexandria via LeMat-Bulk: an optimized crystal structure of CrPb3C (PBE).

It has space group Pm-3m (No. 221), with a = 4.889 Å, b = 4.889 Å, c = 4.889 Å, α = 90.00°, β = 90.00° and γ = 90.00°. The distinct sites, in fractional coordinates, are Cr at (0.000, 0.000, 0.000), Pb at (0.000, 0.500, 0.500) and C at (0.500, 0.500, 0.500).

The density comes out at 9.7 g/cm³. The formation energy is 8.6 eV per formula unit. As for the final energy: -4.2802 eV per atom. The offset from the most stable computed form comes out at 18.4 kJ/mol of atoms. The calculation puts the total magnetization at 0.0 μB/cell.